The following is a PBE calculation of SrSc2Au after structural relaxation, from Alexandria via LeMat-Bulk.

The total energy comes out at -4.678 eV/atom. The formation energy from the elements is -0.27 eV per atom. The calculation puts the polymorph energy (0 for the lowest one) at 0.0 kJ/mol of atoms. As for the volume: 27.30 Å³/atom.

Unit cell a=3.586 b=3.586 c=8.491 alpha=90.00 beta=90.00 gamma=90.00
Space group P4mm (No. 99)
One atom of each set of equivalent atoms:
Sr: 0.000 0.000 0.000 (multiplicity 1)
Sc: 0.000 0.000 0.419 (multiplicity 1)
Sc: 0.500 0.500 0.655 (multiplicity 1)
Au: 0.500 0.500 0.264 (multiplicity 1)

The following is a PBE calculation of Sr2ScAu after structural relaxation, from Alexandria via LeMat-Bulk.

The total energy comes out at -3.477 eV/atom. The formation energy from the elements is -0.23 eV per atom. The calculation puts the polymorph energy (0 for the lowest one) at 6.1 kJ/mol of atoms. As for the volume: 33.23 Å³/atom.

Unit cell a=13.446 b=3.792 c=5.770 alpha=90.00 beta=115.37 gamma=90.00
Space group Cm (No. 8)
One atom of each set of equivalent atoms:
Sr: 0.000 0.000 0.000 (multiplicity 2)
Sr: 0.198 0.000 0.697 (multiplicity 2)
Sc: 0.386 0.000 0.386 (multiplicity 2)
Au: 0.222 0.500 0.221 (multiplicity 2)

The following is a PBE calculation of SrSc4Au5 after structural relaxation, from Alexandria via LeMat-Bulk.

The total energy comes out at -5.113 eV/atom. The formation energy from the elements is -0.77 eV per atom. As for the volume: 21.13 Å³/atom.

Unit cell a=3.468 b=3.468 c=17.573 alpha=90.00 beta=90.00 gamma=90.00
Space group P4/mmm (No. 123)
One atom of each set of equivalent atoms:
Sr: 0.000 0.000 0.000 (multiplicity 1)
Sc: 0.000 0.000 0.213 (multiplicity 2)
Sc: 0.000 0.000 0.405 (multiplicity 2)
Au: 0.500 0.500 0.129 (multiplicity 2)
Au: 0.500 0.500 0.310 (multiplicity 2)
Au: 0.500 0.500 0.500 (multiplicity 1)

The following is a PBE calculation of Sr2ScAu after structural relaxation, from Alexandria via LeMat-Bulk.

The total energy comes out at -3.181 eV/atom. The formation energy from the elements is 0.06 eV per atom. The calculation puts the polymorph energy (0 for the lowest one) at 34.7 kJ/mol of atoms. As for the volume: 31.51 Å³/atom.

Unit cell a=7.959 b=7.959 c=7.959 alpha=90.00 beta=90.00 gamma=90.00
Space group Fm-3m (No. 225)
One atom of each set of equivalent atoms:
Sr: 0.250 0.250 0.250 (multiplicity 8)
Sc: 0.000 0.000 0.000 (multiplicity 4)
Au: 0.000 0.000 0.500 (multiplicity 4)